Record 1
The following is a GGA-PBE calculation of crystalline ErBi3 at its relaxed geometry, from Alexandria.

Results
- Formation enthalpy at 0 K: -0.284 eV per atom

extended XYZ file:
```
4
Lattice="4.942 0.000 0.000 0.000 4.942 0.000 0.000 0.000 4.942" Properties=species:S:1:pos:R:3 pbc="T T T"
Er 0.000 0.000 0.000
Bi 0.000 2.471 2.471
Bi 2.471 0.000 2.471
Bi 2.471 2.471 0.000
```

=====

Record 2
The following is a GGA-PBE calculation of crystalline SmSn2Au7 at its relaxed geometry, from Alexandria.

Results
- Formation enthalpy at 0 K: -0.248 eV per atom

extended XYZ file:
```
10
Lattice="3.474 -8.452 0.000 3.474 8.452 0.000 0.000 0.000 3.991" Properties=species:S:1:pos:R:3 pbc="T T T"
Sm 0.000 0.000 0.000
Sn 3.474 4.056 1.995
Sn 3.474 -4.056 1.995
Au 1.382 1.894 1.995
Au 1.382 -1.894 1.995
Au 3.474 2.097 0.000
Au 3.474 0.000 1.995
Au 3.474 -2.097 0.000
Au 5.567 1.894 1.995
Au 5.567 -1.894 1.995
```

=====

Record 3
The following is a GGA-PBE calculation of crystalline BaYZn2 at its relaxed geometry, from Alexandria.

Results
- Formation enthalpy at 0 K: 0.000 eV per atom

extended XYZ file:
```
4
Lattice="1.989 1.149 9.012 -1.989 1.149 9.012 0.000 -2.297 9.012" Properties=species:S:1:pos:R:3 pbc="T T T"
Ba 0.000 0.000 0.000
Y 0.000 0.000 13.519
Zn 0.000 0.000 6.455
Zn 0.000 0.000 20.582
```

=====

Record 4
The following is a GGA-PBE calculation of crystalline LiCe2AlS5 at its relaxed geometry, from Alexandria.

Results
- Energy relative to the elements, uncorrected: -1.644 eV per atom

extended XYZ file:
```
18
Lattice="1.928 -8.401 0.000 1.928 8.401 0.000 0.000 0.000 11.419" Properties=species:S:1:pos:R:3 pbc="T T T"
Li 1.928 4.826 5.709
Li 1.928 -4.826 0.000
Ce 1.928 6.343 1.872
Ce 1.928 6.153 9.020
Ce 1.928 -6.153 3.311
Ce 1.928 -6.343 7.582
Al 1.928 1.121 10.656
Al 1.928 -1.121 4.946
S 1.928 7.662 6.132
S 1.928 3.469 1.701
S 1.928 3.118 9.600
S 1.928 2.384 5.506
S 1.928 0.002 2.985
S 1.928 -0.002 8.695
S 1.928 -2.384 11.216
S 1.928 -3.118 3.890
S 1.928 -3.469 7.410
S 1.928 -7.662 0.422
```

=====

Record 5
The following is a GGA-PBE calculation of crystalline Pm2Er5Sc2 at its relaxed geometry, from Alexandria.

Results
- Formation enthalpy at 0 K: 0.260 eV per atom

extended XYZ file:
```
18
Lattice="-8.135 5.268 3.268 8.135 -5.268 3.268 8.135 5.268 -3.268" Properties=species:S:1:pos:R:3 pbc="T T T"
Pm 0.000 0.000 0.000
Pm 8.135 0.000 0.000
Pm 12.203 -0.216 1.282
Pm 4.068 0.216 1.282
Er 10.627 2.012 -0.927
Er 5.644 -3.256 2.341
Er 0.867 2.731 1.316
Er 7.268 2.731 1.316
Er 4.068 4.022 1.377
Er 2.492 8.523 -0.927
Er -2.492 3.256 2.341
Er 4.068 1.246 4.645
Er -0.867 7.805 1.316
Er 0.867 2.537 4.584
Sc 1.371 -0.343 3.077
Sc 6.765 -0.343 3.077
Sc 1.371 5.611 -0.191
Sc 6.765 5.611 -0.191
```

=====

Record 6
The following is a GGA-PBE calculation of crystalline TbNd3Y at its relaxed geometry, from Alexandria.

Results
- Formation enthalpy at 0 K: 0.070 eV per atom

extended XYZ file:
```
20
Lattice="9.973 -6.132 0.000 9.973 6.132 0.000 -1.723 0.000 5.605" Properties=species:S:1:pos:R:3 pbc="T T T"
Tb 8.681 5.051 4.204
Tb 9.542 1.093 1.401
Tb 8.681 -1.093 4.204
Tb 9.542 -5.051 1.401
Nd 7.806 4.180 0.865
Nd 3.131 1.325 2.504
Nd 6.931 1.910 3.673
Nd 11.279 4.180 1.938
Nd 2.270 -1.325 5.306
Nd 10.430 1.910 4.734
Nd 7.792 -1.910 0.871
Nd 15.953 1.325 0.299
Nd 6.944 -4.180 3.667
Nd 11.292 -1.910 1.932
Nd 15.091 -1.325 3.101
Nd 10.417 -4.180 4.740
Y 5.963 1.309 0.310
Y 5.101 -1.309 3.113
Y 13.121 1.309 2.492
Y 12.260 -1.309 5.295
```

=====

Record 7
The following is a GGA-PBE calculation of crystalline Co2SiNi at its relaxed geometry, from Alexandria.

Results
- Energy relative to the elements, uncorrected: -0.256 eV per atom

extended XYZ file:
```
4
Lattice="-1.387 1.985 3.960 1.387 -1.985 3.960 1.387 1.985 -3.960" Properties=species:S:1:pos:R:3 pbc="T T T"
Co 0.000 0.000 0.000
Co 0.000 1.985 1.864
Si 0.000 0.000 3.974
Ni 1.387 0.000 2.149
```

=====

Record 8
The following is a GGA-PBE calculation of crystalline Rb2Cu2PbCl7 at its relaxed geometry, from Alexandria.

Results
- Energy relative to the elements, uncorrected: -1.105 eV per atom

extended XYZ file:
```
12
Lattice="3.493 -3.493 0.000 3.493 3.493 0.000 -3.478 0.000 12.703" Properties=species:S:1:pos:R:3 pbc="T T T"
Rb 0.002 0.000 4.567
Rb 3.506 0.000 8.136
Cu 0.023 0.000 10.291
Cu 3.485 0.000 2.412
Pb 0.000 0.000 0.000
Cl 1.744 1.746 2.121
Cl 0.014 0.000 7.899
Cl 1.764 1.746 10.582
Cl 3.493 0.000 0.000
Cl 1.744 -1.746 2.121
Cl 3.494 0.000 4.804
Cl 1.764 -1.746 10.582
```

=====

> Number 2 is which compound?

SmSn2Au7